(1)
{
  "formula": "CeCoBi",
  "functional": "GGA-PBE",
  "state": "relaxed",
  "sg": "P3m1, No. 156",
  "lattice_angstrom": [[4.2295, 0.0000, 0.0000], [0.0000, 4.3805, 0.0000], [0.0000, -2.1903, 3.7936]],
  "species": ["Co", "Ce", "Bi"],
  "frac_coords": [[0.3972, 0.6667, 0.3333], [0.0521, 0.0000, 0.0000], [0.5507, 0.3333, 0.6667]]
}


(2)
{
  "formula": "Dy6Cd5Sb",
  "functional": "GGA-PBE",
  "state": "relaxed",
  "sg": "Immm, No. 71",
  "formation_energy_uncorrected_ev_per_atom": -0.419,
  "lattice_angstrom": [[5.1155, -0.0044, -1.4340], [-3.8437, 7.3859, -3.8932], [-0.2036, -1.1366, 9.1186]],
  "species": ["Cd", "Cd", "Cd", "Cd", "Cd", "Dy", "Dy", "Dy", "Dy", "Dy", "Dy", "Sb"],
  "frac_coords": [[0.5000, 0.1774, 0.8226], [0.0000, 0.3332, 0.6668], [0.0000, 0.6668, 0.3332], [0.5000, 0.8226, 0.1774], [0.5000, 0.5000, 0.5000], [0.7525, 0.5874, 0.9176], [0.7472, 0.2472, 0.2472], [0.2475, 0.4126, 0.0824], [0.2528, 0.7528, 0.7528], [0.7525, 0.9176, 0.5874], [0.2475, 0.0824, 0.4126], [0.0000, 0.0000, 0.0000]]
}


(3)
{
  "formula": "Mo2WAu",
  "functional": "GGA-PBE",
  "state": "relaxed",
  "sg": "Cmmm, No. 65",
  "lattice_angstrom": [[4.9120, -0.0013, 0.0000], [-1.6568, 4.6242, 0.0000], [0.0000, 0.0000, 2.8651]],
  "species": ["Au", "Mo", "Mo", "W"],
  "frac_coords": [[0.0000, 0.5000, 0.5000], [0.5000, 0.5000, 0.0000], [0.0000, 0.0000, 0.0000], [0.5000, 0.0000, 0.5000]]
}


(4)
{
  "formula": "La8InGe3I4",
  "functional": "GGA-PBE",
  "state": "relaxed",
  "sg": "R-3m, No. 166",
  "formation_energy_uncorrected_ev_per_atom": -0.994,
  "lattice_angstrom": [[-7.0561, 4.2697, 3.7902], [3.3094, -2.0130, 8.4287], [5.3040, 4.3765, -5.9240]],
  "species": ["La", "La", "La", "La", "La", "La", "La", "La", "I", "I", "I", "I", "Ge", "Ge", "Ge", "In"],
  "frac_coords": [[0.7346, 0.7039, 0.4692], [0.7272, 0.7128, 0.9700], [0.2428, 0.7128, 0.4857], [0.2728, 0.2872, 0.0300], [0.2428, 0.7128, 0.9700], [0.7572, 0.2872, 0.5143], [0.7572, 0.2872, 0.0300], [0.2654, 0.2961, 0.5308], [0.5000, 0.0000, 0.0000], [0.0000, 0.0000, 0.5000], [0.0000, 0.0000, 0.0000], [0.5000, 0.0000, 0.5000], [0.5000, 0.5000, 0.5000], [0.5000, 0.5000, 0.0000], [0.0000, 0.5000, 0.5000], [0.0000, 0.5000, 0.0000]]
}


(5)
{
  "formula": "TaGa3Si",
  "functional": "GGA-PBE",
  "state": "relaxed",
  "sg": "Pm-3m, No. 221",
  "formation_energy_uncorrected_ev_per_atom": 0.905,
  "lattice_angstrom": [[5.0152, 0.0000, 0.0000], [0.0000, 5.0152, 0.0000], [0.0000, 0.0000, 5.0152]],
  "species": ["Si", "Ga", "Ga", "Ga", "Ta"],
  "frac_coords": [[0.5000, 0.5000, 0.5000], [0.5000, 0.0000, 0.0000], [0.0000, 0.0000, 0.5000], [0.0000, 0.5000, 0.0000], [0.0000, 0.0000, 0.0000]]
}


(6)
{
  "formula": "MgTlNi2",
  "functional": "GGA-PBE",
  "state": "relaxed",
  "sg": "F-43m, No. 216",
  "lattice_angstrom": [[-3.8314, -1.5569, -1.6195], [-1.4406, -4.0289, 1.1912], [-3.5360, -0.3979, 2.6579]],
  "species": ["Ni", "Ni", "Tl", "Mg"],
  "frac_coords": [[0.0000, 0.0000, 0.0000], [0.2500, 0.2500, 0.2500], [0.7500, 0.7500, 0.7500], [0.5000, 0.5000, 0.5000]]
}


Number 1: E -17.85 eV/cell. Number 2: E -41.34 eV/cell. Number 3: E -36.75 eV/cell. Number 4: E -78.11 eV/cell. Number 5: E -21.83 eV/cell. Number 6: E -14.89 eV/cell.